## A
A relaxed SrCo2HRu crystal. Source: Alexandria via LeMat-Bulk, functional GGA-PBE.

Calculated values
DOS at the Fermi energy = 6.96 states/eV per cell

Cell and atoms, written as CIF:
```
data_SrCo2HRu
_symmetry_space_group_name_H-M 'P 4/m m m'
_symmetry_Int_Tables_number 123
_symmetry_space_group_name_Hall '-P 4 2'
_cell_length_a 4.4353
_cell_length_b 4.4353
_cell_length_c 3.5528
_cell_angle_alpha 90.00
_cell_angle_beta 90.00
_cell_angle_gamma 90.00
loop_
_atom_site_label
_atom_site_type_symbol
_atom_site_fract_x
_atom_site_fract_y
_atom_site_fract_z
_atom_site_occupancy
Sr1 Sr 0.0000 0.0000 0.0000 1
Co1 Co 0.0000 0.5000 0.5000 1
H1 H 0.5000 0.5000 0.5000 1
Ru1 Ru 0.5000 0.5000 0.0000 1
```

=====

## B
A relaxed SrCo2HRu crystal. Source: Alexandria via LeMat-Bulk, functional GGA-PBE.

Calculated values
DOS at the Fermi energy = 7.88 states/eV per cell

Cell and atoms, written as CIF:
```
data_SrCo2HRu
_symmetry_space_group_name_H-M 'P 4/m m m'
_symmetry_Int_Tables_number 123
_symmetry_space_group_name_Hall '-P 4 2'
_cell_length_a 4.3443
_cell_length_b 4.3443
_cell_length_c 6.1756
_cell_angle_alpha 90.00
_cell_angle_beta 90.00
_cell_angle_gamma 90.00
loop_
_atom_site_label
_atom_site_type_symbol
_atom_site_fract_x
_atom_site_fract_y
_atom_site_fract_z
_atom_site_occupancy
Sr1 Sr 0.0000 0.0000 0.0000 1
Co1 Co 0.0000 0.5000 0.5000 1
H1 H 0.5000 0.5000 0.0000 1
Ru1 Ru 0.0000 0.0000 0.5000 1
```

=====

Relative energy of each structure, in eV/atom: A 0.000; B 0.581.

=====

## A
A relaxed TaCo2HRu crystal. Source: Alexandria via LeMat-Bulk, functional GGA-PBE.

Calculated values
DOS at the Fermi energy = 3.53 states/eV per cell

Cell and atoms, written as CIF:
```
data_TaCo2HRu
_symmetry_space_group_name_H-M 'P 4/m m m'
_symmetry_Int_Tables_number 123
_symmetry_space_group_name_Hall '-P 4 2'
_cell_length_a 3.6890
_cell_length_b 3.6890
_cell_length_c 3.9863
_cell_angle_alpha 90.00
_cell_angle_beta 90.00
_cell_angle_gamma 90.00
loop_
_atom_site_label
_atom_site_type_symbol
_atom_site_fract_x
_atom_site_fract_y
_atom_site_fract_z
_atom_site_occupancy
Ta1 Ta 0.0000 0.0000 0.0000 1
Co1 Co 0.0000 0.5000 0.5000 1
H1 H 0.0000 0.0000 0.5000 1
Ru1 Ru 0.5000 0.5000 0.0000 1
```

=====

## B
A relaxed TaCo2HRu crystal. Source: Alexandria via LeMat-Bulk, functional GGA-PBE.

Calculated values
DOS at the Fermi energy = 2.95 states/eV per cell

Cell and atoms, written as CIF:
```
data_TaCo2HRu
_symmetry_space_group_name_H-M 'P 4/m m m'
_symmetry_Int_Tables_number 123
_symmetry_space_group_name_Hall '-P 4 2'
_cell_length_a 3.7393
_cell_length_b 3.7393
_cell_length_c 3.8496
_cell_angle_alpha 90.00
_cell_angle_beta 90.00
_cell_angle_gamma 90.00
loop_
_atom_site_label
_atom_site_type_symbol
_atom_site_fract_x
_atom_site_fract_y
_atom_site_fract_z
_atom_site_occupancy
Ta1 Ta 0.0000 0.0000 0.0000 1
Co1 Co 0.0000 0.5000 0.5000 1
H1 H 0.5000 0.5000 0.5000 1
Ru1 Ru 0.5000 0.5000 0.0000 1
```

=====

Relative energy of each structure, in eV/atom: A 0.071; B 0.000.

=====

## A
A relaxed VCo2HRu crystal. Source: Alexandria via LeMat-Bulk, functional GGA-PBE.

Calculated values
DOS at the Fermi energy = 3.46 states/eV per cell

Cell and atoms, written as CIF:
```
data_VCo2HRu
_symmetry_space_group_name_H-M 'P 4/m m m'
_symmetry_Int_Tables_number 123
_symmetry_space_group_name_Hall '-P 4 2'
_cell_length_a 3.5807
_cell_length_b 3.5807
_cell_length_c 3.8456
_cell_angle_alpha 90.00
_cell_angle_beta 90.00
_cell_angle_gamma 90.00
loop_
_atom_site_label
_atom_site_type_symbol
_atom_site_fract_x
_atom_site_fract_y
_atom_site_fract_z
_atom_site_occupancy
V1 V 0.0000 0.0000 0.0000 1
Co1 Co 0.0000 0.5000 0.5000 1
H1 H 0.0000 0.0000 0.5000 1
Ru1 Ru 0.5000 0.5000 0.0000 1
```

=====

## B
A relaxed VCo2HRu crystal. Source: Alexandria via LeMat-Bulk, functional GGA-PBE.

Calculated values
DOS at the Fermi energy = 2.75 states/eV per cell

Cell and atoms, written as CIF:
```
data_VCo2HRu
_symmetry_space_group_name_H-M 'P 4/m m m'
_symmetry_Int_Tables_number 123
_symmetry_space_group_name_Hall '-P 4 2'
_cell_length_a 3.6104
_cell_length_b 3.6104
_cell_length_c 3.8053
_cell_angle_alpha 90.00
_cell_angle_beta 90.00
_cell_angle_gamma 90.00
loop_
_atom_site_label
_atom_site_type_symbol
_atom_site_fract_x
_atom_site_fract_y
_atom_site_fract_z
_atom_site_occupancy
V1 V 0.0000 0.0000 0.0000 1
Co1 Co 0.0000 0.5000 0.5000 1
H1 H 0.5000 0.5000 0.5000 1
Ru1 Ru 0.5000 0.5000 0.0000 1
```

=====

Relative energy of each structure, in eV/atom: A 0.007; B 0.000.

=====

## A
A relaxed CoHRuW2 crystal. Source: Alexandria via LeMat-Bulk, functional GGA-PBE.

Calculated values
DOS at the Fermi energy = 2.39 states/eV per cell

Cell and atoms, written as CIF:
```
data_CoHRuW2
_symmetry_space_group_name_H-M 'P 4/m m m'
_symmetry_Int_Tables_number 123
_symmetry_space_group_name_Hall '-P 4 2'
_cell_length_a 3.9565
_cell_length_b 3.9565
_cell_length_c 3.7410
_cell_angle_alpha 90.00
_cell_angle_beta 90.00
_cell_angle_gamma 90.00
loop_
_atom_site_label
_atom_site_type_symbol
_atom_site_fract_x
_atom_site_fract_y
_atom_site_fract_z
_atom_site_occupancy
Co1 Co 0.0000 0.0000 0.0000 1
H1 H 0.0000 0.0000 0.5000 1
Ru1 Ru 0.5000 0.5000 0.0000 1
W1 W 0.0000 0.5000 0.5000 1
```

=====

## B
A relaxed CoHRuW2 crystal. Source: Alexandria via LeMat-Bulk, functional GGA-PBE.

Calculated values
DOS at the Fermi energy = 1.94 states/eV per cell

Cell and atoms, written as CIF:
```
data_CoHRuW2
_symmetry_space_group_name_H-M 'P 4/m m m'
_symmetry_Int_Tables_number 123
_symmetry_space_group_name_Hall '-P 4 2'
_cell_length_a 3.9343
_cell_length_b 3.9343
_cell_length_c 3.8142
_cell_angle_alpha 90.00
_cell_angle_beta 90.00
_cell_angle_gamma 90.00
loop_
_atom_site_label
_atom_site_type_symbol
_atom_site_fract_x
_atom_site_fract_y
_atom_site_fract_z
_atom_site_occupancy
Co1 Co 0.0000 0.0000 0.0000 1
H1 H 0.5000 0.5000 0.5000 1
Ru1 Ru 0.5000 0.5000 0.0000 1
W1 W 0.0000 0.5000 0.5000 1
```

=====

Relative energy of each structure, in eV/atom: A 0.000; B 0.053.

=====

## A
A relaxed ZnCo2HRu crystal. Source: Alexandria via LeMat-Bulk, functional GGA-PBE.

Calculated values
DOS at the Fermi energy = 5.43 states/eV per cell

Cell and atoms, written as CIF:
```
data_ZnCo2HRu
_symmetry_space_group_name_H-M 'P 4/m m m'
_symmetry_Int_Tables_number 123
_symmetry_space_group_name_Hall '-P 4 2'
_cell_length_a 3.7171
_cell_length_b 3.7171
_cell_length_c 3.8026
_cell_angle_alpha 90.00
_cell_angle_beta 90.00
_cell_angle_gamma 90.00
loop_
_atom_site_label
_atom_site_type_symbol
_atom_site_fract_x
_atom_site_fract_y
_atom_site_fract_z
_atom_site_occupancy
Zn1 Zn 0.0000 0.0000 0.0000 1
Co1 Co 0.0000 0.5000 0.5000 1
H1 H 0.5000 0.5000 0.5000 1
Ru1 Ru 0.5000 0.5000 0.0000 1
```

=====

## B
A relaxed ZnCo2HRu crystal. Source: Alexandria via LeMat-Bulk, functional GGA-PBE.

Calculated values
DOS at the Fermi energy = 8.50 states/eV per cell

Cell and atoms, written as CIF:
```
data_ZnCo2HRu
_symmetry_space_group_name_H-M 'P 4/m m m'
_symmetry_Int_Tables_number 123
_symmetry_space_group_name_Hall '-P 4 2'
_cell_length_a 3.6407
_cell_length_b 3.6407
_cell_length_c 3.9099
_cell_angle_alpha 90.00
_cell_angle_beta 90.00
_cell_angle_gamma 90.00
loop_
_atom_site_label
_atom_site_type_symbol
_atom_site_fract_x
_atom_site_fract_y
_atom_site_fract_z
_atom_site_occupancy
Zn1 Zn 0.0000 0.0000 0.0000 1
Co1 Co 0.0000 0.5000 0.5000 1
H1 H 0.0000 0.0000 0.5000 1
Ru1 Ru 0.5000 0.5000 0.0000 1
```

=====

Relative energy of each structure, in eV/atom: A 0.000; B 0.147.

=====

## A
A relaxed ZrCo2HRu crystal. Source: Alexandria via LeMat-Bulk, functional GGA-PBE.

Calculated values
DOS at the Fermi energy = 5.90 states/eV per cell

Cell and atoms, written as CIF:
```
data_ZrCo2HRu
_symmetry_space_group_name_H-M 'P 4/m m m'
_symmetry_Int_Tables_number 123
_symmetry_space_group_name_Hall '-P 4 2'
_cell_length_a 3.8271
_cell_length_b 3.8271
_cell_length_c 3.9003
_cell_angle_alpha 90.00
_cell_angle_beta 90.00
_cell_angle_gamma 90.00
loop_
_atom_site_label
_atom_site_type_symbol
_atom_site_fract_x
_atom_site_fract_y
_atom_site_fract_z
_atom_site_occupancy
Zr1 Zr 0.0000 0.0000 0.0000 1
Co1 Co 0.0000 0.5000 0.5000 1
H1 H 0.5000 0.5000 0.5000 1
Ru1 Ru 0.5000 0.5000 0.0000 1
```

=====

## B
A relaxed ZrCo2HRu crystal. Source: Alexandria via LeMat-Bulk, functional GGA-PBE.

Calculated values
DOS at the Fermi energy = 4.94 states/eV per cell

Cell and atoms, written as CIF:
```
data_ZrCo2HRu
_symmetry_space_group_name_H-M 'P 4/m m m'
_symmetry_Int_Tables_number 123
_symmetry_space_group_name_Hall '-P 4 2'
_cell_length_a 3.7568
_cell_length_b 3.7568
_cell_length_c 4.0748
_cell_angle_alpha 90.00
_cell_angle_beta 90.00
_cell_angle_gamma 90.00
loop_
_atom_site_label
_atom_site_type_symbol
_atom_site_fract_x
_atom_site_fract_y
_atom_site_fract_z
_atom_site_occupancy
Zr1 Zr 0.0000 0.0000 0.0000 1
Co1 Co 0.0000 0.5000 0.5000 1
H1 H 0.0000 0.0000 0.5000 1
Ru1 Ru 0.5000 0.5000 0.0000 1
```

=====

Relative energy of each structure, in eV/atom: A 0.000; B 0.048.

=====

## A
A relaxed CoH3S crystal. Source: Alexandria via LeMat-Bulk, functional GGA-PBE.

Calculated values
DOS at the Fermi energy = 5.86 states/eV per cell

Cell and atoms, written as CIF:
```
data_CoH3S
_symmetry_space_group_name_H-M 'P m -3 m'
_symmetry_Int_Tables_number 221
_symmetry_space_group_name_Hall '-P 4 2 3'
_cell_length_a 3.3856
_cell_length_b 3.3856
_cell_length_c 3.3856
_cell_angle_alpha 90.00
_cell_angle_beta 90.00
_cell_angle_gamma 90.00
loop_
_atom_site_label
_atom_site_type_symbol
_atom_site_fract_x
_atom_site_fract_y
_atom_site_fract_z
_atom_site_occupancy
Co1 Co 0.0000 0.0000 0.0000 1
H1 H 0.0000 0.5000 0.5000 1
S1 S 0.5000 0.5000 0.5000 1
```

=====

## B
A relaxed CoH3S crystal. Source: Alexandria via LeMat-Bulk, functional GGA-PBE.

Calculated values
DOS at the Fermi energy = 3.49 states/eV per cell

Cell and atoms, written as CIF:
```
data_CoH3S
_symmetry_space_group_name_H-M 'P m -3 m'
_symmetry_Int_Tables_number 221
_symmetry_space_group_name_Hall '-P 4 2 3'
_cell_length_a 3.3293
_cell_length_b 3.3293
_cell_length_c 3.3293
_cell_angle_alpha 90.00
_cell_angle_beta 90.00
_cell_angle_gamma 90.00
loop_
_atom_site_label
_atom_site_type_symbol
_atom_site_fract_x
_atom_site_fract_y
_atom_site_fract_z
_atom_site_occupancy
Co1 Co 0.0000 0.0000 0.0000 1
H1 H 0.0000 0.0000 0.5000 1
S1 S 0.5000 0.5000 0.5000 1
```

=====

Relative energy of each structure, in eV/atom: A 0.365; B 0.000.

=====

## A
A relaxed CoSbH3 crystal. Source: Alexandria via LeMat-Bulk, functional GGA-PBE.

Calculated values
DOS at the Fermi energy = 1.13 states/eV per cell

Cell and atoms, written as CIF:
```
data_CoSbH3
_symmetry_space_group_name_H-M 'P m -3 m'
_symmetry_Int_Tables_number 221
_symmetry_space_group_name_Hall '-P 4 2 3'
_cell_length_a 3.5191
_cell_length_b 3.5191
_cell_length_c 3.5191
_cell_angle_alpha 90.00
_cell_angle_beta 90.00
_cell_angle_gamma 90.00
loop_
_atom_site_label
_atom_site_type_symbol
_atom_site_fract_x
_atom_site_fract_y
_atom_site_fract_z
_atom_site_occupancy
Co1 Co 0.0000 0.0000 0.0000 1
Sb1 Sb 0.5000 0.5000 0.5000 1
H1 H 0.0000 0.0000 0.5000 1
```

=====

## B
A relaxed CoSbH3 crystal. Source: Alexandria via LeMat-Bulk, functional GGA-PBE.

Calculated values
DOS at the Fermi energy = 4.38 states/eV per cell

Cell and atoms, written as CIF:
```
data_CoSbH3
_symmetry_space_group_name_H-M 'P m -3 m'
_symmetry_Int_Tables_number 221
_symmetry_space_group_name_Hall '-P 4 2 3'
_cell_length_a 3.9452
_cell_length_b 3.9452
_cell_length_c 3.9452
_cell_angle_alpha 90.00
_cell_angle_beta 90.00
_cell_angle_gamma 90.00
loop_
_atom_site_label
_atom_site_type_symbol
_atom_site_fract_x
_atom_site_fract_y
_atom_site_fract_z
_atom_site_occupancy
Co1 Co 0.0000 0.0000 0.0000 1
Sb1 Sb 0.5000 0.5000 0.5000 1
H1 H 0.0000 0.5000 0.5000 1
```

=====

Relative energy of each structure, in eV/atom: A 0.000; B 0.752.